Compound: Ac6GePd2I3
Source: Alexandria
Functional: PBE
Structure: relaxed

The structure belongs to space group C2/m (No. 12); the cell edges are 7.896, 13.667 and 8.746 Å and the angles 90.00°, 107.50° and 90.00°. Symmetry generates all atoms from Ac at (0.225, 0.000, 0.196), Ac at (0.236, 0.330, 0.196), Ge at (0.000, 0.500, 0.000), Pd at (0.000, 0.167, 0.000), I at (0.000, 0.000, 0.500) and I at (0.000, 0.338, 0.500).

For the electronic total energy, the calculation gives -4.62 eV per atom. As for the raw formation energy: -0.927 eV per atom. The magnetic moment is 0.0 μB/cell.